CsMoN2O (GGA+U, optimized geometry); DOS(E_F) = 1.65 states/eV/cell; E_tot = -3.239 eV/atom
1.0
4.403 0.000 0.000
0.000 4.403 0.000
0.000 0.000 4.291
Cs Mo N O
1 1 2 1
Direct
0.000 0.000 0.000
0.500 0.500 0.500
0.000 0.500 0.000
0.500 0.000 0.000
0.000 0.000 0.500